No. 1
First-principles (GGA-PBE) data for a relaxed TmNbSi2 crystal, as listed in the Alexandria database.

Computed properties:
D(E_F)   0.8 states/eV/f.u.
Energy above the lowest structure with this stoichiometry   0 meV/atom
Uncorrected energy   -6.999 eV/atom
Crystal system   orthorhombic
Formation energy without anion corrections   -15.0 kcal/mol of atoms
Space-group type   Pmc2_1, No. 26

Cell: 3.7888 5.3354 6.9938 Å, 90.00 90.00 90.00°
Fractional positions:
Si (0.0000, 0.6245, 0.5395)
Si (0.5000, 0.1099, 0.9568)
Si (0.5000, 0.8901, 0.4568)
Si (0.0000, 0.3755, 0.0395)
Tm (0.5000, 0.6262, 0.8262)
Tm (0.5000, 0.3738, 0.3262)
Nb (0.0000, 0.1248, 0.6775)
Nb (0.0000, 0.8752, 0.1775)

No. 2
First-principles (GGA-PBE) data for a relaxed TmNb4Si4 crystal, as listed in the Alexandria database.

Computed properties:
D(E_F)   5.8 states/eV/f.u.
Uncorrected energy   -7.744 eV/atom
Crystal system   tetragonal
Formation energy without anion corrections   -8.3 kcal/mol of atoms
Space-group type   P4_2/n, No. 86

Cell: 5.0283 8.4121 8.4121 Å, 90.00 90.00 90.00°
Fractional positions:
Tm (0.5000, 0.5000, 0.5000)
Tm (0.0000, 0.0000, 0.0000)
Nb (0.3760, 0.3620, 0.8738)
Nb (0.3760, 0.6380, 0.1262)
Nb (0.6240, 0.8738, 0.6380)
Nb (0.8760, 0.6262, 0.8620)
Nb (0.1240, 0.8620, 0.3738)
Nb (0.8760, 0.3738, 0.1380)
Nb (0.1240, 0.1380, 0.6262)
Nb (0.6240, 0.1262, 0.3620)
Si (0.8858, 0.6835, 0.1597)
Si (0.1142, 0.8403, 0.6835)
Si (0.6142, 0.1835, 0.6597)
Si (0.3858, 0.3403, 0.1835)
Si (0.8858, 0.3165, 0.8403)
Si (0.1142, 0.1597, 0.3165)
Si (0.3858, 0.6597, 0.8165)
Si (0.6142, 0.8165, 0.3403)

No. 3
First-principles (GGA-PBE) data for a relaxed TmNbSi2 crystal, as listed in the Alexandria database.

Computed properties:
D(E_F)   1.7 states/eV/f.u.
Energy above the lowest structure with this stoichiometry   10 meV/atom
Uncorrected energy   -6.988 eV/atom
Crystal system   monoclinic
Formation energy without anion corrections   -14.8 kcal/mol of atoms
Space-group type   P2/c, No. 13

Cell: 5.3026 5.3471 10.2882 Å, 90.00 104.80 90.00°
Fractional positions:
Si (0.0818, 0.8756, 0.4151)
Si (0.5887, 0.3623, 0.4297)
Si (0.4113, 0.6377, 0.5703)
Si (0.5818, 0.1244, 0.9151)
Si (0.9113, 0.3623, 0.0703)
Si (0.0887, 0.6377, 0.9297)
Si (0.9182, 0.1244, 0.5849)
Si (0.4182, 0.8756, 0.0849)
Tm (0.0507, 0.3738, 0.3511)
Tm (0.4493, 0.3738, 0.1489)
Tm (0.5507, 0.6262, 0.8511)
Tm (0.9493, 0.6262, 0.6489)
Nb (0.0576, 0.1310, 0.8596)
Nb (0.4424, 0.1310, 0.6404)
Nb (0.9424, 0.8690, 0.1404)
Nb (0.5576, 0.8690, 0.3596)

No. 4
First-principles (GGA-PBE) data for a relaxed TmNbSi2 crystal, as listed in the Alexandria database.

Computed properties:
D(E_F)   1.5 states/eV/f.u.
Energy above the lowest structure with this stoichiometry   210 meV/atom
Uncorrected energy   -6.788 eV/atom
Crystal system   trigonal
Formation energy without anion corrections   -10.2 kcal/mol of atoms
Space-group type   R-3m, No. 166

Cell: 3.7584 3.7584 6.7913 Å, 73.94 73.94 60.00°
Fractional positions:
Tm (0.5000, 0.5000, 0.5000)
Si (0.2590, 0.2590, 0.2229)
Si (0.7410, 0.7410, 0.7771)
Nb (0.0000, 0.0000, 0.0000)

No. 5
First-principles (GGA-PBE) data for a relaxed UNbSi crystal, as listed in the Alexandria database.

Computed properties:
D(E_F)   6.1 states/eV/f.u.
Uncorrected energy   -8.968 eV/atom
Crystal system   tetragonal
Formation energy without anion corrections   -0.9 kcal/mol of atoms
Space-group type   I4mm, No. 107

Cell: 3.4362 3.4362 5.4237 Å, 108.47 108.47 90.00°
Last column: magnetic moment on the atom in μB.
Fractional positions:
Nb (0.9128, 0.9128, 0.8255)  -0.17
Si (0.3111, 0.3111, 0.6222)  -0.02
U (0.6262, 0.6262, 0.2523)  1.30

No. 6
First-principles (GGA-PBE) data for a relaxed UNbSi crystal, as listed in the Alexandria database.

Computed properties:
D(E_F)   3.8 states/eV/f.u.
Uncorrected energy   -8.979 eV/atom
Crystal system   trigonal
Formation energy without anion corrections   -1.2 kcal/mol of atoms
Space-group type   R-3m, No. 166

Cell: 4.2396 4.2396 7.9411 Å, 74.52 74.52 60.00°
Last column: magnetic moment on the atom in μB.
Fractional positions:
Si (0.0928, 0.0928, 0.7215)  0.00
Si (0.9072, 0.9072, 0.2785)  0.00
Nb (0.7918, 0.7918, 0.6247)  -0.03
Nb (0.2082, 0.2082, 0.3753)  -0.03
U (0.6431, 0.6431, 0.0708)  1.39
U (0.3569, 0.3569, 0.9292)  1.39